# BaSr2HgP

A relaxed structure of BaSr2HgP (PBE-GGA, the Alexandria database).

Unit cell a=5.8411 b=5.8411 c=6.3119 alpha=90.00 beta=90.00 gamma=90.00
Positions (direct):
Sr 0.0000 0.5000 0.0000
Sr 0.5000 0.0000 0.0000
Hg 0.5000 0.5000 0.5000
P 0.0000 0.0000 0.0000
Ba 0.0000 0.0000 0.5000

The energy relative to the elements comes out at -0.562 eV/atom. The total magnetization comes out at 0.000 μB/atom.